[1]
Density functional theory data (meta-GGA SCAN) for a PBEsol-optimized structure of AlCu2Re.

a b c (Å): 2.6259 4.6412 4.9539
angles (deg): 116.45 105.37 90.00
Sites, in units of the cell vectors:
Al (0.2543, 0.6775, 0.5087)
Cu (0.7468, 0.1587, 0.4936)
Cu (0.0014, 0.0841, 0.0028)
Re (0.4975, 0.5797, 0.9949)

Values from the calculation:
As for the final energy: -27.36 eV/atom. For the calculated formation energy, the calculation gives -0.048 eV per atom. For the magnetic moment, the calculation gives 0.00 μB per formula unit. The space group is Cm, No. 8.


[2]
Density functional theory data (meta-GGA SCAN) for a PBEsol-optimized structure of Cu3PRu.

a b c (Å): 4.1683 4.1683 4.1683
angles (deg): 90.00 90.00 90.00
Sites, in units of the cell vectors:
Ru (0.5000, 0.5000, 0.5000)
P (0.0000, 0.0000, 0.0000)
Cu (0.5000, 0.0000, 0.0000)
Cu (0.0000, 0.0000, 0.5000)
Cu (0.0000, 0.5000, 0.0000)

Values from the calculation:
As for the final energy: -17.47 eV/atom. For the calculated formation energy, the calculation gives 0.694 eV per atom. For the magnetic moment, the calculation gives 2.13 μB per formula unit. The space group is Pm-3m, No. 221.